Computed, not measured: a geometry-optimized BeCd2Au structure at the PBE level of DFT.

As for the final energy: -2.0088 eV per atom. As for the space group: F-43m (216).

Unit cell a=4.596 b=4.596 c=4.596 alpha=60.00 beta=60.00 gamma=60.00
Sites, in units of the cell vectors:
Cd: 0.750 0.750 0.750
Cd: 0.000 0.000 0.000
Be: 0.500 0.500 0.500
Au: 0.250 0.250 0.250